1.
The following is a GGA-PBE calculation of crystalline Ca2TaAl at its relaxed geometry, from the Alexandria database.

```
data_Ca2TaAl
_space_group_name_H-M_alt 'P 1'
_space_group_IT_number 1
_space_group_name_Hall 'P 1'
_cell_length_a 3.521
_cell_length_b 5.050
_cell_length_c 5.265
_cell_angle_alpha 90.00
_cell_angle_beta 90.00
_cell_angle_gamma 90.00
loop_
_atom_site_label
_atom_site_type_symbol
_atom_site_fract_x
_atom_site_fract_y
_atom_site_fract_z
Ca1 Ca 0.000 0.000 0.000
Ca2 Ca 0.500 0.500 0.000
Ta1 Ta 0.000 0.500 0.500
Al1 Al 0.500 0.000 0.500
```

Output
As for the formation energy: 0.538 eV per atom. The calculation puts the final energy at -4.362 eV per atom.



2.
The following is a GGA-PBE calculation of crystalline Ca2TaAl at its relaxed geometry, from the Alexandria database.

```
data_Ca2TaAl
_space_group_name_H-M_alt 'P 1'
_space_group_IT_number 1
_space_group_name_Hall 'P 1'
_cell_length_a 10.879
_cell_length_b 10.879
_cell_length_c 10.879
_cell_angle_alpha 17.10
_cell_angle_beta 17.10
_cell_angle_gamma 17.10
loop_
_atom_site_label
_atom_site_type_symbol
_atom_site_fract_x
_atom_site_fract_y
_atom_site_fract_z
Ca1 Ca 0.250 0.250 0.250
Ca2 Ca 0.750 0.750 0.750
Ta1 Ta 0.500 0.500 0.500
Al1 Al 0.000 0.000 0.000
```

Output
As for the formation energy: 0.454 eV per atom. The calculation puts the final energy at -4.446 eV per atom.



3.
The following is a GGA-PBE calculation of crystalline CaTaAl2 at its relaxed geometry, from the Alexandria database.

```
data_CaTaAl2
_space_group_name_H-M_alt 'P 1'
_space_group_IT_number 1
_space_group_name_Hall 'P 1'
_cell_length_a 5.090
_cell_length_b 5.090
_cell_length_c 2.987
_cell_angle_alpha 90.00
_cell_angle_beta 90.00
_cell_angle_gamma 90.00
loop_
_atom_site_label
_atom_site_type_symbol
_atom_site_fract_x
_atom_site_fract_y
_atom_site_fract_z
Ca1 Ca 0.000 0.000 0.000
Ta1 Ta 0.500 0.500 0.000
Al1 Al 0.000 0.500 0.500
Al2 Al 0.500 0.000 0.500
```

Output
As for the offset from the most stable computed form: 0.2376 eV per atom. As for the formation energy: 0.097 eV per atom. The calculation puts the final energy at -5.238 eV per atom.



4.
The following is a GGA-PBE calculation of crystalline CaTa2Al2 at its relaxed geometry, from the Alexandria database.

```
data_CaTa2Al2
_space_group_name_H-M_alt 'P 1'
_space_group_IT_number 1
_space_group_name_Hall 'P 1'
_cell_length_a 7.825
_cell_length_b 7.825
_cell_length_c 3.161
_cell_angle_alpha 90.00
_cell_angle_beta 90.00
_cell_angle_gamma 90.00
loop_
_atom_site_label
_atom_site_type_symbol
_atom_site_fract_x
_atom_site_fract_y
_atom_site_fract_z
Ca1 Ca 0.000 0.000 0.000
Ca2 Ca 0.500 0.500 0.000
Ta1 Ta 0.171 0.329 0.500
Ta2 Ta 0.329 0.829 0.500
Ta3 Ta 0.671 0.171 0.500
Ta4 Ta 0.829 0.671 0.500
Al1 Al 0.121 0.621 0.000
Al2 Al 0.379 0.121 0.000
Al3 Al 0.621 0.879 0.000
Al4 Al 0.879 0.379 0.000
```

Output
As for the formation energy: 0.133 eV per atom. The calculation puts the final energy at -6.505 eV per atom.



Q: final energy of number 1 (Ca2TaAl)?
A: -4.362 eV per atom



Repeat the third record exactly.
The following is a GGA-PBE calculation of crystalline CaTaAl2 at its relaxed geometry, from the Alexandria database.

```
data_CaTaAl2
_space_group_name_H-M_alt 'P 1'
_space_group_IT_number 1
_space_group_name_Hall 'P 1'
_cell_length_a 5.090
_cell_length_b 5.090
_cell_length_c 2.987
_cell_angle_alpha 90.00
_cell_angle_beta 90.00
_cell_angle_gamma 90.00
loop_
_atom_site_label
_atom_site_type_symbol
_atom_site_fract_x
_atom_site_fract_y
_atom_site_fract_z
Ca1 Ca 0.000 0.000 0.000
Ta1 Ta 0.500 0.500 0.000
Al1 Al 0.000 0.500 0.500
Al2 Al 0.500 0.000 0.500
```

Output
As for the offset from the most stable computed form: 0.2376 eV per atom. As for the formation energy: 0.097 eV per atom. The calculation puts the final energy at -5.238 eV per atom.



Q: What is the formula in the third record?
A: CaTaAl2



Q: Among the records above, which one has the lowest final energy?
A: CaTa2Al2